Below is a geometry-optimized AsSe2IBr structure, with properties calculated at the PBE level.

a b c (Å): 5.2201 5.2201 5.1411
angles (deg): 90.00 90.00 90.00
Fractional positions:
1 Se 0.5000 0.0000 0.0000
2 Se 0.0000 0.5000 0.0000
3 Br 0.0000 0.0000 0.5000
4 As 0.0000 0.0000 0.0000
5 I 0.5000 0.5000 0.5000

Calculated values
The formation energy (no corrections) comes out at 1.92 eV/f.u. The total magnetization comes out at 0.000 μB/atom. Its offset from the most stable computed form is 0.0 kJ/mol of formula units.

=====

Below is a geometry-optimized Ac2Al9Rh3 structure, with properties calculated at the PBE level.

a b c (Å): 7.8198 7.8198 10.8334
angles (deg): 90.05 110.64 120.70
Fractional positions:
1 Al 0.4568 0.6500 0.9274
2 Al 0.4718 0.8219 0.4603
3 Al 0.7907 0.3017 0.9323
4 Al 0.7774 0.4707 0.4274
5 Al 0.2226 0.5293 0.5726
6 Al 0.1305 0.1416 0.4323
7 Al 0.2093 0.6983 0.0677
8 Al 0.5432 0.3500 0.0726
9 Al 0.8739 0.1239 0.7500
10 Al 0.8616 0.0115 0.0397
11 Al 0.5316 0.0795 0.2532
12 Al 0.3263 0.2785 0.2468
13 Al 0.5282 0.1781 0.5397
14 Al 0.8695 0.8584 0.5677
15 Al 0.1261 0.8761 0.2500
16 Al 0.4684 0.9205 0.7468
17 Al 0.6737 0.7215 0.7532
18 Al 0.1384 0.9885 0.9603
19 Rh 0.8289 0.6617 0.9988
20 Rh 0.5000 0.5000 0.5000
21 Rh 0.8371 0.1699 0.4988
22 Rh 0.1711 0.3383 0.0012
23 Rh 0.5000 0.0000 0.0000
24 Rh 0.1629 0.8301 0.5012
25 Ac 0.0035 0.4136 0.2515
26 Ac 0.9965 0.5864 0.7485
27 Ac 0.6622 0.7520 0.2485
28 Ac 0.3378 0.2480 0.7515

Calculated values
The energy of formation from the pure elements is -696 meV/atom. The total magnetization comes out at 0.000 μB/atom.

=====

Below is a geometry-optimized Ce2YTmSe6 structure, with properties calculated at the PBE level.

a b c (Å): 7.3530 7.3529 7.7504
angles (deg): 61.68 61.68 60.00
Fractional positions:
1 Se 0.9354 0.6049 0.2588
2 Se 0.6049 0.2009 0.2588
3 Se 0.2009 0.9354 0.2588
4 Se 0.4401 0.7034 0.7563
5 Se 0.7033 0.1002 0.7563
6 Se 0.1002 0.4401 0.7563
7 Ce 0.0198 0.0198 0.9405
8 Ce 0.5192 0.5192 0.4424
9 Tm 0.8192 0.8192 0.5423
10 Y 0.3184 0.3184 0.0447

Calculated values
The formation energy (no corrections) comes out at -17.96 eV/f.u. The total magnetization comes out at 0.200 μB/atom.

=====

Below is a geometry-optimized Sm5Ag2Os2 structure, with properties calculated at the PBE level.

a b c (Å): 7.6647 7.6741 8.8416
angles (deg): 90.00 64.31 90.00
Fractional positions:
1 Sm 0.8087 0.8175 0.7478
2 Sm 0.1913 0.1825 0.2522
3 Sm 0.5000 0.5000 0.0000
4 Sm 0.4434 0.1825 0.7478
5 Sm 0.3087 0.6825 0.7478
6 Sm 0.0000 0.0000 0.0000
7 Sm 0.9434 0.3175 0.7478
8 Sm 0.5566 0.8175 0.2522
9 Sm 0.0566 0.6825 0.2522
10 Sm 0.6913 0.3175 0.2522
11 Os 0.8845 0.6145 0.0000
12 Os 0.6155 0.1145 0.0000
13 Os 0.3845 0.8855 0.0000
14 Os 0.1155 0.3855 0.0000
15 Ag 0.7178 0.5000 0.5644
16 Ag 0.7822 0.0000 0.4356
17 Ag 0.2822 0.5000 0.4356
18 Ag 0.2178 0.0000 0.5644

Calculated values
The energy of formation from the pure elements is -178 meV/atom. The total magnetization comes out at 0.000 μB/atom.

=====

Below is a geometry-optimized Ag2Br2Cl7 structure, with properties calculated at the PBE level.

a b c (Å): 8.3353 8.3353 14.9776
angles (deg): 103.88 103.88 121.88
Fractional positions:
1 Ag 0.7534 0.7429 0.1221
2 Ag 0.2466 0.2571 0.8779
3 Ag 0.7429 0.7534 0.6221
4 Ag 0.2571 0.2466 0.3779
5 Cl 0.2787 0.4587 0.2438
6 Cl 0.8898 0.0774 0.8925
7 Cl 0.7213 0.5413 0.7562
8 Cl 0.5413 0.7213 0.2562
9 Cl 0.3612 0.5890 0.5386
10 Cl 0.4587 0.2787 0.7438
11 Cl 0.9226 0.1102 0.6075
12 Cl 0.4110 0.6388 0.9614
13 Cl 0.9027 0.0973 0.2500
14 Cl 0.0973 0.9027 0.7500
15 Cl 0.1102 0.9226 0.1075
16 Cl 0.6388 0.4110 0.4614
17 Cl 0.0774 0.8898 0.3925
18 Cl 0.5890 0.3612 0.0386
19 Br 0.7657 0.2356 0.5338
20 Br 0.2343 0.7644 0.4662
21 Br 0.2356 0.7657 0.0338
22 Br 0.7644 0.2343 0.9662

Calculated values
The formation energy (no corrections) comes out at -1.81 eV/f.u. The total magnetization comes out at 0.000 μB/atom.

=====

Below is a geometry-optimized Al3ZnOs structure, with properties calculated at the PBE level.

a b c (Å): 4.7707 4.7707 4.7707
angles (deg): 90.00 90.00 90.00
Fractional positions:
1 Os 0.0000 0.0000 0.0000
2 Al 0.5000 0.0000 0.0000
3 Al 0.0000 0.0000 0.5000
4 Al 0.0000 0.5000 0.0000
5 Zn 0.5000 0.5000 0.5000

Calculated values
The energy of formation from the pure elements is 133 meV/atom. The total magnetization comes out at 0.000 μB/atom. Its offset from the most stable computed form is 0.0 kJ/mol of formula units.

=====

Below is a geometry-optimized FeIrW2 structure, with properties calculated at the PBE level.

a b c (Å): 4.3816 4.3816 4.3816
angles (deg): 60.00 60.00 60.00
Fractional positions:
1 W 0.7500 0.7500 0.7500
2 W 0.2500 0.2500 0.2500
3 Fe 0.0000 0.0000 0.0000
4 Ir 0.5000 0.5000 0.5000

Calculated values
The energy of formation from the pure elements is 271 meV/atom. The total magnetization comes out at 0.719 μB/atom. Its offset from the most stable computed form is 125.9 kJ/mol of formula units.

=====

Below is a geometry-optimized Ba4PrHoCu6O14 structure, with properties calculated at the PBE level.

a b c (Å): 3.8637 3.9342 23.7607
angles (deg): 90.00 90.00 90.00
Fractional positions:
1 Ho 0.5000 0.5000 0.5000
2 O 0.0000 0.5000 0.9343
3 O 0.0000 0.5000 0.0657
4 O 0.5000 0.0000 0.9350
5 O 0.0000 0.0000 0.8266
6 O 0.0000 0.5000 0.5596
7 O 0.5000 0.0000 0.5591
8 O 0.0000 0.5000 0.2525
9 O 0.0000 0.0000 0.1734
10 O 0.0000 0.5000 0.7475
11 O 0.0000 0.0000 0.6687
12 O 0.0000 0.5000 0.4404
13 O 0.5000 0.0000 0.4409
14 O 0.0000 0.0000 0.3313
15 O 0.5000 0.0000 0.0650
16 Ba 0.5000 0.5000 0.8377
17 Ba 0.5000 0.5000 0.1623
18 Ba 0.5000 0.5000 0.3419
19 Ba 0.5000 0.5000 0.6581
20 Cu 0.0000 0.0000 0.2523
21 Cu 0.0000 0.0000 0.9219
22 Cu 0.0000 0.0000 0.7477
23 Cu 0.0000 0.0000 0.0781
24 Cu 0.0000 0.0000 0.5724
25 Cu 0.0000 0.0000 0.4276
26 Pr 0.5000 0.5000 0.0000

Calculated values
The formation energy (no corrections) comes out at -46.50 eV/f.u. The total magnetization comes out at 0.000 μB/atom.

=====

Below is a geometry-optimized LiGaSiNi structure, with properties calculated at the PBE level.

a b c (Å): 4.1289 4.1289 4.1289
angles (deg): 60.00 60.00 60.00
Fractional positions:
1 Li 0.5000 0.5000 0.5000
2 Ga 0.2500 0.2500 0.2500
3 Si 0.7500 0.7500 0.7500
4 Ni 0.0000 0.0000 0.0000

Calculated values
The formation energy (no corrections) comes out at -1.16 eV/f.u. The total magnetization comes out at 0.000 μB/atom.

=====

Below is a geometry-optimized ZnCl5 structure, with properties calculated at the PBE level.

a b c (Å): 7.9898 7.9898 7.5536
angles (deg): 91.17 91.17 23.45
Fractional positions:
1 Cl 0.9953 0.9953 0.5731
2 Cl 0.6621 0.6621 0.3210
3 Cl 0.6789 0.6789 0.8871
4 Cl 0.3562 0.3562 0.1429
5 Cl 0.9325 0.9325 0.7980
6 Zn 0.2085 0.2085 0.1112

Calculated values
The formation energy (no corrections) comes out at -2.39 eV/f.u. The total magnetization comes out at 0.019 μB/atom. Its offset from the most stable computed form is 0.0 kJ/mol of formula units.

=====

Below is a geometry-optimized PdIN2F structure, with properties calculated at the PBE level.

a b c (Å): 4.1054 4.1054 4.2059
angles (deg): 90.00 90.00 90.00
Fractional positions:
1 I 0.5000 0.5000 0.5000
2 Pd 0.0000 0.0000 0.0000
3 F 0.0000 0.0000 0.5000
4 N 0.5000 0.0000 0.0000
5 N 0.0000 0.5000 0.0000

Calculated values
The formation energy (no corrections) comes out at 5.62 eV/f.u. The total magnetization comes out at 0.251 μB/atom. Its offset from the most stable computed form is 0.0 kJ/mol of formula units.

=====

Below is a geometry-optimized Li3TbHo2Se6 structure, with properties calculated at the PBE level.

a b c (Å): 7.0398 7.0398 6.9070
angles (deg): 99.79 99.79 120.00
Fractional positions:
1 Li 0.5000 0.5000 0.5000
2 Li 0.1668 0.8332 0.5000
3 Li 0.8332 0.1668 0.5000
4 Ho 0.3333 0.6667 0.0000
5 Ho 0.6667 0.3333 0.0000
6 Se 0.2511 0.2511 0.7469
7 Se 0.4198 0.0843 0.2527
8 Se 0.5802 0.9157 0.7473
9 Se 0.0843 0.4198 0.2527
10 Se 0.7489 0.7489 0.2531
11 Se 0.9157 0.5802 0.7473
12 Tb 0.0000 0.0000 0.0000

Calculated values
The formation energy (no corrections) comes out at -20.37 eV/f.u. The total magnetization comes out at 0.000 μB/atom.